Entry 1:
Here is crystalline Sm3Sn5 at its relaxed geometry from Alexandria. Energies are from PBE.

Unit cell a=12.9228 b=10.5198 c=6.4541 alpha=90.00 beta=90.00 gamma=90.00
Closest atoms and distances in Å follow each position.
Space group Pnma (No. 62)
Asymmetric unit:
Sm  0.0549  0.2500  0.1295  8 Sn 3.13-3.48
Sm  0.1509  0.5054  0.6241  10 Sn 3.25-3.56
Sn  0.9998  0.2500  0.6024  3 Sn 3.00-3.19, 3 Sm 3.13-3.32
Sn  0.0919  0.5465  0.1275  4 Sn 3.00-3.27, 4 Sm 3.16-3.36
Sn  0.2311  0.7500  0.8864  3 Sn 3.03-3.20, 3 Sm 3.22-3.25
Sn  0.2460  0.7500  0.3542  4 Sn 3.03-3.27, 5 Sm 3.13-3.35

## Properties
- V: 27.4 A^3/atom
- DFT formation energy: -60.8 kJ per mole of atoms
- Energy relative to the lowest polymorph listed for this composition: 0.00 kcal/mol of atoms
- Spin magnetization: 0.000 μB per cell
- Calculated total energy: -4.90 eV/atom

***

Entry 2:
Here is crystalline Sm3Sn at its relaxed geometry from Alexandria. Energies are from PBE.

Unit cell a=4.8178 b=4.8178 c=10.1792 alpha=90.00 beta=90.00 gamma=90.00
Closest atoms and distances in Å follow each position.
Space group I4/mmm (No. 139)
Asymmetric unit:
Sm  0.0000  0.0000  0.0000  4 Sn 3.41, 8 Sm 3.50
Sm  0.0000  0.5000  0.2500  8 Sm 3.41-3.50, 4 Sn 3.50
Sn  0.0000  0.0000  0.5000  12 Sm 3.41-3.50

## Properties
- V: 29.5 A^3/atom
- DFT formation energy: -38.8 kJ per mole of atoms
- Spin magnetization: 0.000 μB per cell
- Calculated total energy: -4.94 eV/atom

***

Entry 3:
Here is crystalline SmSn5 at its relaxed geometry from Alexandria. Energies are from PBE.

Unit cell a=4.6492 b=15.3252 c=4.5924 alpha=90.00 beta=90.00 gamma=90.00
Closest atoms and distances in Å follow each position.
Space group Cmmm (No. 65)
Asymmetric unit:
Sm  0.0000  0.0000  0.0000  12 Sn 3.27-3.48
Sn  0.0000  0.1705  0.5000  10 Sn 3.27-3.50, 2 Sm 3.48
Sn  0.0000  0.3410  0.0000  10 Sn 3.27-3.63, 2 Sm 3.37
Sn  0.0000  0.5000  0.5000  4 Sm 3.27, 8 Sn 3.35-3.50

## Properties
- V: 27.3 A^3/atom
- DFT formation energy: -25.4 kJ per mole of atoms
- Spin magnetization: 0.000 μB per cell
- Calculated total energy: -4.39 eV/atom

***

Entry 4:
Here is crystalline Sm4Sn3 at its relaxed geometry from Alexandria. Energies are from PBE.

Unit cell a=9.4906 b=9.4906 c=9.4906 alpha=90.00 beta=90.00 gamma=90.00
Closest atoms and distances in Å follow each position.
Space group I-43d (No. 220)
Asymmetric unit:
Sm  0.0698  0.0698  0.0698  6 Sn 3.15-3.43
Sn  0.0000  0.2500  0.3750  8 Sm 3.15-3.43

## Properties
- V: 30.5 A^3/atom
- DFT formation energy: -72.0 kJ per mole of atoms
- Energy relative to the lowest polymorph listed for this composition: 0.00 kcal/mol of atoms
- Spin magnetization: 0.000 μB per cell
- Calculated total energy: -5.16 eV/atom

***

Entry 5:
Here is crystalline Sm3Sn2 at its relaxed geometry from Alexandria. Energies are from PBE.

Unit cell a=6.2434 b=6.2434 c=15.7011 alpha=90.00 beta=90.00 gamma=90.00
Closest atoms and distances in Å follow each position.
Space group I4_1/amd (No. 141, origin choice 2)
Asymmetric unit:
Sm  0.0000  0.0000  0.0000  2 Sm 3.12, 2 Sn 3.18
Sm  0.0000  0.2500  0.3750  6 Sn 3.12-3.22
Sn  0.0000  0.2500  0.1763  5 Sm 3.12-3.22

## Properties
- V: 30.6 A^3/atom
- DFT formation energy: -56.0 kJ per mole of atoms
- Spin magnetization: 0.963 μB per cell
- Calculated total energy: -5.01 eV/atom

***

Entry 6:
Here is crystalline Sm2Sn3 at its relaxed geometry from Alexandria. Energies are from PBE.

Unit cell a=7.7418 b=7.7418 c=4.6125 alpha=90.00 beta=90.00 gamma=90.00
Closest atoms and distances in Å follow each position.
Space group P4/m (No. 83)
Asymmetric unit:
Sm  0.1454  0.6948  0.0000  9 Sn 3.13-3.49
Sn  0.0000  0.0000  0.5000  4 Sn 3.36, 8 Sm 3.49
Sn  0.1724  0.3978  0.5000  2 Sn 3.10-3.36, 6 Sm 3.19-3.45
Sn  0.5000  0.5000  0.0000  4 Sm 3.13

## Properties
- V: 27.6 A^3/atom
- DFT formation energy: -63.3 kJ per mole of atoms
- Spin magnetization: 0.000 μB per cell
- Calculated total energy: -4.95 eV/atom

***

> V of number 3 (SmSn5)?

27.3 A^3/atom

***

> Number 3 is which compound?

SmSn5

***

Copy entry 2 word for word.
Here is crystalline Sm3Sn at its relaxed geometry from Alexandria. Energies are from PBE.

Unit cell a=4.8178 b=4.8178 c=10.1792 alpha=90.00 beta=90.00 gamma=90.00
Closest atoms and distances in Å follow each position.
Space group I4/mmm (No. 139)
Asymmetric unit:
Sm  0.0000  0.0000  0.0000  4 Sn 3.41, 8 Sm 3.50
Sm  0.0000  0.5000  0.2500  8 Sm 3.41-3.50, 4 Sn 3.50
Sn  0.0000  0.0000  0.5000  12 Sm 3.41-3.50

## Properties
- V: 29.5 A^3/atom
- DFT formation energy: -38.8 kJ per mole of atoms
- Spin magnetization: 0.000 μB per cell
- Calculated total energy: -4.94 eV/atom